LaTbAu | PBE | optimized geometry Values from VASP.

**Space-group type**: No. 107
**Formation enthalpy at 0 K**: -0.52 eV per atom
**Crystal system**: tetragonal

Cell and atoms, written as Quantum ESPRESSO input:
```
&SYSTEM
  ibrav = 0, nat = 6, ntyp = 3
/
ATOMIC_SPECIES
La 138.91 La.upf
Tb 158.93 Tb.upf
Au 196.97 Au.upf
CELL_PARAMETERS angstrom
3.6998 0.0000 0.0000
0.0000 3.6998 0.0000
0.0000 0.0000 12.6898
ATOMIC_POSITIONS angstrom
La 0.0000 0.0000 0.0000
La 1.8499 1.8499 6.3449
Tb 0.0000 0.0000 3.6368
Tb 1.8499 1.8499 9.9817
Au 0.0000 0.0000 8.4263
Au 1.8499 1.8499 2.0815
```